[1]
Material: Cs2HfCu2Te6
Method: DFT, PBE
State: relaxed

Results
- Mass density: 5.30 g/cm3
- Total DFT energy (no corrections): -43.45 eV/cell
- SG: C2/m (12)
- E_form (uncorrected): -4.751 eV per formula unit
- Total moment: 0.00 μB per formula unit

a = 7.9479 Å, b = 7.9619 Å, c = 8.9052 Å
α = 116.50°, β = 90.00°, γ = 119.94°
Last column: nearest neighbours and their distance in Å.
Sites, in units of the cell vectors:
Cs1 0.7404 0.4809 0.2224  1 Cu 3.79, 9 Te 3.98-4.17
Cs2 0.2596 0.5191 0.7776  1 Cu 3.79, 9 Te 3.98-4.17
Hf1 0.5000 0.0000 0.5000  6 Te 2.87
Cu1 0.9061 0.8122 0.7187  3 Te 2.49
Cu2 0.0939 0.1878 0.2813  3 Te 2.49
Te1 0.7377 0.4754 0.7517  1 Cu 2.49
Te2 0.2613 0.9845 0.2469  1 Cu 2.49
Te3 0.2768 0.0155 0.7531  1 Cu 2.49
Te4 0.7387 0.0155 0.7531  1 Cu 2.49
Te5 0.7232 0.9845 0.2469  1 Cu 2.49
Te6 0.2623 0.5246 0.2483  1 Cu 2.49

[2]
Material: Cs2Hf2CuTe6
Method: DFT, PBE
State: relaxed

Results
- Mass density: 5.87 g/cm3
- Total DFT energy (no corrections): -52.34 eV/cell
- SG: C2/m (12)
- E_form (uncorrected): -7.785 eV per formula unit
- Total moment: 0.00 μB per formula unit

a = 7.2370 Å, b = 7.2370 Å, c = 9.5178 Å
α = 97.39°, β = 97.39°, γ = 121.31°
Last column: nearest neighbours and their distance in Å.
Sites, in units of the cell vectors:
Cs1 0.8367 0.1633 0.0000  6 Te 3.81-3.82, 3 Cs 4.12-4.17
Cs2 0.1633 0.8367 0.0000  6 Te 3.81-3.82, 3 Cs 4.12-4.17
Hf1 0.3306 0.6694 0.5000  6 Te 2.88-2.93
Hf2 0.6694 0.3306 0.5000  6 Te 2.88-2.93
Cu1 0.0000 0.0000 0.5000  6 Te 2.77-2.92
Te1 0.7367 0.7367 0.6692  1 Cu 2.77, 2 Hf 2.93
Te2 0.0652 0.3969 0.6795  2 Hf 2.88-2.91, 1 Cu 2.92
Te3 0.2633 0.2633 0.3308  1 Cu 2.77, 2 Hf 2.93
Te4 0.3969 0.0652 0.6795  2 Hf 2.88-2.91, 1 Cu 2.92
Te5 0.9348 0.6031 0.3205  2 Hf 2.88-2.91, 1 Cu 2.92
Te6 0.6031 0.9348 0.3205  2 Hf 2.88-2.91, 1 Cu 2.92

[3]
Material: CsHfCuTe4
Method: DFT, PBE
State: relaxed

Results
- Mass density: 6.41 g/cm3
- Total DFT energy (no corrections): -62.87 eV/cell
- SG: P2_1/m (11)
- E_form (uncorrected): -3.967 eV per formula unit
- Total moment: 0.00 μB per formula unit

a = 7.1679 Å, b = 6.2674 Å, c = 10.7582 Å
α = 90.00°, β = 108.34°, γ = 90.00°
Last column: nearest neighbours and their distance in Å.
Sites, in units of the cell vectors:
Cs1 0.7969 0.7500 0.9588  8 Te 3.72-4.11
Cs2 0.2031 0.2500 0.0412  8 Te 3.72-4.11
Hf1 0.7315 0.7500 0.4439  6 Te 2.90-3.06, 1 Cu 2.99
Hf2 0.2685 0.2500 0.5561  6 Te 2.90-3.06, 1 Cu 2.99
Cu1 0.2929 0.7500 0.3428  4 Te 2.50-2.66
Cu2 0.7071 0.2500 0.6572  4 Te 2.50-2.66
Te1 0.0098 0.5064 0.6752  1 Cu 2.66
Te2 0.9902 0.0064 0.3248  1 Cu 2.66
Te3 0.9902 0.4936 0.3248  1 Cu 2.66
Te4 0.0098 0.9936 0.6752  1 Cu 2.66
Te5 0.4705 0.7500 0.1765  1 Cu 2.50
Te6 0.5295 0.2500 0.8235  1 Cu 2.50
Te7 0.4446 0.7500 0.5902  1 Cu 2.54
Te8 0.5554 0.2500 0.4098  1 Cu 2.54

[4]
Material: CsHfCu2Te4
Method: DFT, PBE
State: relaxed

Results
- Mass density: 4.86 g/cm3
- Total DFT energy (no corrections): -34.75 eV/cell
- SG: I222 (23)
- E_form (uncorrected): -3.184 eV per formula unit
- Total moment: 0.00 μB per formula unit

a = 6.4010 Å, b = 7.8011 Å, c = 7.8011 Å
α = 79.82°, β = 65.78°, γ = 65.78°
Last column: nearest neighbours and their distance in Å.
Sites, in units of the cell vectors:
Cs1 0.0000 0.0000 0.0000  8 Te 4.04-4.15
Hf1 0.5000 0.5000 0.5000  4 Te 2.75
Cu1 0.1189 0.3811 0.3811  1 Cu 2.41, 2 Te 2.47
Cu2 0.8811 0.6189 0.6189  1 Cu 2.41, 2 Te 2.47
Te1 0.4262 0.1734 0.5164  1 Cu 2.47, 1 Hf 2.75
Te2 0.1159 0.8266 0.4836  1 Cu 2.47, 1 Hf 2.75
Te3 0.8841 0.5164 0.1734  1 Cu 2.47, 1 Hf 2.75
Te4 0.5738 0.4836 0.8266  1 Cu 2.47, 1 Hf 2.75

[5]
Material: Cs2HfCu2Te4
Method: DFT, PBE
State: relaxed

Results
- Mass density: 6.22 g/cm3
- Total DFT energy (no corrections): -38.73 eV/cell
- SG: C2/m (12)
- E_form (uncorrected): -6.309 eV per formula unit
- Total moment: 0.00 μB per formula unit

a = 4.2647 Å, b = 8.9623 Å, c = 8.2197 Å
α = 107.31°, β = 105.04°, γ = 90.00°
Last column: nearest neighbours and their distance in Å.
Sites, in units of the cell vectors:
Cs1 0.1356 0.5629 0.2712  7 Te 3.74-4.00, 1 Cs 4.10, 1 Cu 4.11
Cs2 0.8644 0.4371 0.7288  7 Te 3.74-4.00, 1 Cs 4.10, 1 Cu 4.11
Hf1 0.0000 0.0000 0.0000  6 Te 2.93
Cu1 0.6903 0.9895 0.3807  4 Te 2.66-2.70, 2 Cu 2.82
Cu2 0.3097 0.0105 0.6193  4 Te 2.66-2.70, 2 Cu 2.82
Te1 0.1901 0.1663 0.3802  3 Cu 2.66-2.68, 1 Hf 2.93
Te2 0.8099 0.8337 0.6198  3 Cu 2.66-2.68, 1 Hf 2.93
Te3 0.5230 0.7909 0.0459  1 Cu 2.70, 2 Hf 2.93
Te4 0.4770 0.2091 0.9541  1 Cu 2.70, 2 Hf 2.93

[6]
Material: CsHf2ZrCu
Method: DFT, PBE
State: relaxed

Results
- Mass density: 6.23 g/cm3
- Energy relative to the elements: 1.66 eV per atom
- Total DFT energy (no corrections): -25.11 eV/cell
- SG: P4/mmm (123)
- Total moment: 0.00 μB per formula unit

a = 5.2421 Å, b = 6.2550 Å, c = 5.2421 Å
α = 90.00°, β = 90.00°, γ = 90.00°
Last column: nearest neighbours and their distance in Å.
Sites, in units of the cell vectors:
Cs1 0.0000 0.5000 0.0000  2 Zr 3.13
Hf1 0.0000 0.0000 0.5000  2 Zr 2.62
Hf2 0.5000 0.0000 0.0000  2 Zr 2.62
Cu1 0.5000 0.5000 0.5000  4 Cs 3.71, 8 Hf 4.08
Zr1 0.0000 0.0000 0.0000  4 Hf 2.62

[7]
Material: Cs2CuHg
Method: DFT, PBE
State: relaxed

Results
- ΔE to the lowest computed polymorph: 0 meV/atom
- Mass density: 4.78 g/cm3
- Energy relative to the elements: 0.15 eV per atom
- Total DFT energy (no corrections): -5.51 eV/cell
- SG: Fm-3m (225)
- Total moment: 0.00 μB per formula unit

a = 6.3854 Å, b = 6.3854 Å, c = 6.3854 Å
α = 60.00°, β = 60.00°, γ = 60.00°
Last column: nearest neighbours and their distance in Å.
Sites, in units of the cell vectors:
Cs1 0.2500 0.2500 0.2500  4 Hg 3.91, 4 Cu 3.91
Cs2 0.7500 0.7500 0.7500  4 Hg 3.91, 4 Cu 3.91
Hg1 0.5000 0.5000 0.5000  8 Cs 3.91
Cu1 0.0000 0.0000 0.0000  8 Cs 3.91

[8]
Material: Cs2Cu2Hg
Method: DFT, PBE
State: relaxed

Results
- Mass density: 5.19 g/cm3
- Energy relative to the elements: 0.23 eV per atom
- Total DFT energy (no corrections): -9.05 eV/cell
- SG: I4/mmm (139)
- Total moment: 0.00 μB per formula unit

a = 6.9943 Å, b = 6.9943 Å, c = 6.2873 Å
α = 56.20°, β = 56.20°, γ = 90.00°
Last column: nearest neighbours and their distance in Å.
Sites, in units of the cell vectors:
Cs1 0.7500 0.2500 0.5000  4 Cu 3.57, 2 Cs 3.88, 4 Hg 4.00
Cs2 0.2500 0.7500 0.5000  4 Cu 3.57, 2 Cs 3.88, 4 Hg 4.00
Hg1 0.0000 0.0000 0.0000  2 Cu 2.68
Cu1 0.3452 0.3452 0.3097  1 Cu 2.40, 1 Hg 2.68
Cu2 0.6548 0.6548 0.6903  1 Cu 2.40, 1 Hg 2.68